# NaMnW2O8

A relaxed NaMnW2O8 crystal (PBE+U, Alexandria).

Lattice parameters (Å, degrees): 7.1664 7.1664 6.8165 90.00 90.00 90.00
Space group I-4m2 (No. 119)
Unique sites:
Na  0.0000  0.0000  0.0000 x2
Mn  0.0000  0.5000  0.7500 x2
W  0.0000  0.0000  0.5000 x2
W  0.0000  0.5000  0.2500 x2
O  0.0000  0.2086  0.6531 x8
O  0.0000  0.3009  0.0864 x8

Properties
E_tot (eV per atom): -6.90
Density of states at the Fermi level (states/eV per atom): 0.845